## 1
## La2Dy7Sc2 (PBE)

Data for an optimized crystal structure of La2Dy7Sc2.

Space group: C2/m

Lattice parameters (Å, degrees): 7.9297 7.9297 6.0096 105.07 105.07 92.87
Fractional positions:
1 La 0.2151 0.2151 0.1002
2 La 0.7849 0.7849 0.8998
3 Dy 0.0000 0.0000 0.5000
4 Dy 0.0625 0.5879 0.3168
5 Dy 0.4121 0.9375 0.6832
6 Dy 0.4161 0.4161 0.7037
7 Dy 0.5839 0.5839 0.2963
8 Dy 0.5879 0.0625 0.3168
9 Dy 0.9375 0.4121 0.6832
10 Sc 0.2330 0.7670 0.0000
11 Sc 0.7670 0.2330 0.0000


## 2
## La2Dy7Sc2 (PBE)

Data for an optimized crystal structure of La2Dy7Sc2.

Space group: Imm2

Lattice parameters (Å, degrees): 10.5784 10.5784 10.5784 160.75 69.77 113.68
Fractional positions:
1 La 0.2067 0.0000 0.2067
2 La 0.7933 0.0000 0.7933
3 Dy 0.0767 0.0767 0.0000
4 Dy 0.0859 0.7535 0.3325
5 Dy 0.4002 0.5075 0.8928
6 Dy 0.4210 0.7535 0.6675
7 Dy 0.5855 0.2476 0.3379
8 Dy 0.6147 0.5075 0.1072
9 Dy 0.9097 0.2476 0.6621
10 Sc 0.3248 0.8248 0.5000
11 Sc 0.7744 0.7744 0.0000


It is 2 that is the least stable of them.


## 1
## La2Dy3Sc (PBE)

Data for an optimized crystal structure of La2Dy3Sc.

Space group: Pnnm

Lattice parameters (Å, degrees): 6.9980 9.7523 5.6363 90.00 90.00 90.00
Fractional positions:
1 La 0.2465 0.1683 0.0000
2 La 0.2535 0.6683 0.5000
3 La 0.7465 0.3317 0.5000
4 La 0.7535 0.8317 0.0000
5 Dy 0.0000 0.5000 0.0000
6 Dy 0.2492 0.8339 0.0000
7 Dy 0.2508 0.3339 0.5000
8 Dy 0.5000 0.0000 0.5000
9 Dy 0.7492 0.6661 0.5000
10 Dy 0.7508 0.1661 0.0000
11 Sc 0.0000 0.0000 0.5000
12 Sc 0.5000 0.5000 0.0000


## 2
## La2Dy3Sc (PBE)

Data for an optimized crystal structure of La2Dy3Sc.

Space group: Cmmm

Lattice parameters (Å, degrees): 7.9532 7.9532 5.0793 90.00 90.00 143.10
Fractional positions:
1 La 0.1619 0.8381 0.0000
2 La 0.8381 0.1619 0.0000
3 Dy 0.0000 0.0000 0.5000
4 Dy 0.3364 0.6636 0.5000
5 Dy 0.6636 0.3364 0.5000
6 Sc 0.5000 0.5000 0.0000


It is 1 that is the least stable of them.


## 1
## La2Dy4Sc (PBE)

Data for an optimized crystal structure of La2Dy4Sc.

Space group: I4/mmm

Lattice parameters (Å, degrees): 9.5290 9.5290 9.5290 147.10 147.10 47.22
Fractional positions:
1 La 0.1283 0.1283 0.0000
2 La 0.8717 0.8717 0.0000
3 Dy 0.0000 0.5000 0.5000
4 Dy 0.3267 0.3267 0.0000
5 Dy 0.5000 0.0000 0.5000
6 Dy 0.6733 0.6733 0.0000
7 Sc 0.5000 0.5000 0.0000


## 2
## La2Dy4Sc (PBE)

Data for an optimized crystal structure of La2Dy4Sc.

Space group: C2/c

Lattice parameters (Å, degrees): 6.8809 6.8809 11.4183 90.04 90.04 121.83
Fractional positions:
1 La 0.0291 0.9709 0.7500
2 La 0.3165 0.6835 0.7500
3 La 0.6835 0.3165 0.2500
4 La 0.9709 0.0291 0.2500
5 Dy 0.2253 0.7748 0.0451
6 Dy 0.2252 0.7747 0.4549
7 Dy 0.2768 0.2768 0.0003
8 Dy 0.2768 0.2768 0.5003
9 Dy 0.7232 0.7232 0.9997
10 Dy 0.7232 0.7232 0.4997
11 Dy 0.7748 0.2253 0.5451
12 Dy 0.7747 0.2252 0.9549
13 Sc 0.4002 0.5998 0.2500
14 Sc 0.5998 0.4002 0.7500


It is 1 that is the least stable of them.


## 1
## LaDy6Sc4 (PBE)

Data for an optimized crystal structure of LaDy6Sc4.

Space group: Cmcm

Lattice parameters (Å, degrees): 5.4674 5.4674 25.0322 90.00 90.00 119.64
Fractional positions:
1 La 0.1734 0.8266 0.7500
2 La 0.8266 0.1734 0.2500
3 Dy 0.1593 0.8407 0.1766
4 Dy 0.1593 0.8407 0.3234
5 Dy 0.1727 0.8273 0.5940
6 Dy 0.1727 0.8273 0.9060
7 Dy 0.4925 0.5075 0.2500
8 Dy 0.5000 0.5000 0.0000
9 Dy 0.5000 0.5000 0.5000
10 Dy 0.5075 0.4925 0.7500
11 Dy 0.8273 0.1727 0.0940
12 Dy 0.8273 0.1727 0.4060
13 Dy 0.8407 0.1593 0.6766
14 Dy 0.8407 0.1593 0.8234
15 Sc 0.1639 0.8361 0.0428
16 Sc 0.1639 0.8361 0.4572
17 Sc 0.4925 0.5075 0.1238
18 Sc 0.4925 0.5075 0.3762
19 Sc 0.5075 0.4925 0.6238
20 Sc 0.5075 0.4925 0.8762
21 Sc 0.8361 0.1639 0.5428
22 Sc 0.8361 0.1639 0.9572


## 2
## LaDy6Sc4 (PBE)

Data for an optimized crystal structure of LaDy6Sc4.

Space group: P-6m2

Lattice parameters (Å, degrees): 8.7391 8.7391 5.2542 90.00 90.00 120.00
Fractional positions:
1 La 0.0000 0.0000 0.0000
2 Dy 0.2017 0.4035 0.5000
3 Dy 0.2017 0.7983 0.5000
4 Dy 0.5335 0.0670 0.0000
5 Dy 0.5335 0.4665 0.0000
6 Dy 0.5965 0.7983 0.5000
7 Dy 0.9330 0.4665 0.0000
8 Sc 0.3333 0.6667 0.0000
9 Sc 0.4275 0.2138 0.5000
10 Sc 0.7862 0.2138 0.5000
11 Sc 0.7862 0.5725 0.5000


It is 2 that is the least stable of them.


## 1
## LaSmDySc (PBE)

Data for an optimized crystal structure of LaSmDySc.

Space group: F-43m

Lattice parameters (Å, degrees): 5.6448 5.6448 5.6448 60.00 60.00 60.00
Fractional positions:
1 La 0.0000 0.0000 0.0000
2 Sm 0.5000 0.5000 0.5000
3 Dy 0.7500 0.7500 0.7500
4 Sc 0.2500 0.2500 0.2500


## 2
## LaSmDySc (PBE)

Data for an optimized crystal structure of LaSmDySc.

Space group: Cm

Lattice parameters (Å, degrees): 6.7674 6.7674 3.8215 106.35 106.35 50.14
Fractional positions:
1 La 0.0000 0.0000 0.0000
2 Sm 0.7279 0.7279 0.2176
3 Dy 0.2672 0.2672 0.7574
4 Sc 0.4955 0.4955 0.4891


It is 1 that is the least stable of them.


## 1
## LaDyThSc (PBE)

Data for an optimized crystal structure of LaDyThSc.

Space group: P4mm

Lattice parameters (Å, degrees): 3.5892 3.5892 9.6813 90.00 90.00 90.00
Fractional positions:
1 La 0.0000 0.0000 0.0000
2 Dy 0.5000 0.5000 0.7255
3 Th 0.0000 0.0000 0.4773
4 Sc 0.5000 0.5000 0.2492


## 2
## LaDyThSc (PBE)

Data for an optimized crystal structure of LaDyThSc.

Space group: F-43m

Lattice parameters (Å, degrees): 5.6088 5.6088 5.6088 60.00 60.00 60.00
Fractional positions:
1 La 0.0000 0.0000 0.0000
2 Dy 0.2500 0.2500 0.2500
3 Th 0.5000 0.5000 0.5000
4 Sc 0.7500 0.7500 0.7500


It is 2 that is the least stable of them.


## 1
## La4Dy3Se8 (PBE)

Data for an optimized crystal structure of La4Dy3Se8.

Space group: R-3m

Lattice parameters (Å, degrees): 9.1392 9.1392 9.1392 53.28 53.28 53.28
Fractional positions:
1 La 0.0000 0.0000 0.0000
2 La 0.1480 0.1480 0.1480
3 La 0.5000 0.5000 0.5000
4 La 0.8520 0.8520 0.8520
5 Dy 0.0000 0.5000 0.5000
6 Dy 0.5000 0.0000 0.5000
7 Dy 0.5000 0.5000 0.0000
8 Se 0.2500 0.2500 0.7333
9 Se 0.2500 0.7333 0.2500
10 Se 0.2667 0.7500 0.7500
11 Se 0.2702 0.2702 0.2702
12 Se 0.7298 0.7298 0.7298
13 Se 0.7333 0.2500 0.2500
14 Se 0.7500 0.2667 0.7500
15 Se 0.7500 0.7500 0.2667


## 2
## La4Dy3Se8 (PBE)

Data for an optimized crystal structure of La4Dy3Se8.

Space group: C2/m

Lattice parameters (Å, degrees): 8.3927 8.3927 8.3592 119.81 119.81 90.06
Fractional positions:
1 La 0.0000 0.0000 0.0000
2 La 0.0000 0.5000 0.0000
3 La 0.5000 0.0000 0.0000
4 La 0.5000 0.5000 0.5000
5 Dy 0.0000 0.5000 0.5000
6 Dy 0.5000 0.0000 0.5000
7 Dy 0.5000 0.5000 0.0000
8 Se 0.2436 0.7564 0.5000
9 Se 0.2492 0.2492 0.5120
10 Se 0.2511 0.2511 0.9890
11 Se 0.2560 0.7440 0.0000
12 Se 0.7440 0.2560 0.0000
13 Se 0.7489 0.7489 0.0110
14 Se 0.7508 0.7508 0.4880
15 Se 0.7564 0.2436 0.5000


It is 1 that is the least stable of them.


## 1
## LaDySe2 (PBE)

Data for an optimized crystal structure of LaDySe2.

Space group: R-3m

Lattice parameters (Å, degrees): 7.3324 7.3324 7.3324 33.03 33.03 33.03
Fractional positions:
1 La 0.0000 0.0000 0.0000
2 Dy 0.5000 0.5000 0.5000
3 Se 0.2436 0.2436 0.2436
4 Se 0.7564 0.7564 0.7564


## 2
## LaDySe2 (PBE)

Data for an optimized crystal structure of LaDySe2.

Space group: R3m

Lattice parameters (Å, degrees): 7.7504 7.7504 7.7504 30.40 30.40 30.40
Fractional positions:
1 La 0.0000 0.0000 0.0000
2 Dy 0.1770 0.1770 0.1770
3 Se 0.4264 0.4264 0.4264
4 Se 0.5842 0.5842 0.5842


It is 2 that is the least stable of them.